(1)
Here is a relaxed CuSe2Cl crystal from Alexandria. Energies are from PBE-GGA.

a = 4.961 Å, b = 7.758 Å, c = 11.315 Å
α = 104.10°, β = 90.00°, γ = 90.00°
Positions (direct):
1 Cu 0.860 0.572 0.748
2 Cu 0.140 0.428 0.252
3 Cu 0.360 0.928 0.752
4 Cu 0.640 0.072 0.248
5 Cl 0.390 0.207 0.123
6 Cl 0.610 0.793 0.877
7 Cl 0.110 0.707 0.623
8 Cl 0.890 0.293 0.377
9 Se 0.190 0.421 0.838
10 Se 0.690 0.079 0.662
11 Se 0.031 0.145 0.842
12 Se 0.531 0.355 0.658
13 Se 0.969 0.855 0.158
14 Se 0.310 0.921 0.338
15 Se 0.469 0.645 0.342
16 Se 0.810 0.579 0.162

Values from the calculation:
energy above the most stable polymorph in this dataset: 0.000 eV per atom
total energy: -56.299 eV for the cell shown
energy relative to the elements, uncorrected: -0.291 eV per atom

(2)
Here is a relaxed CaSnSb2I crystal from Alexandria. Energies are from PBE-GGA.

a = 5.653 Å, b = 5.653 Å, c = 6.059 Å
α = 90.00°, β = 90.00°, γ = 90.00°
Positions (direct):
1 Sb 0.000 0.500 0.000
2 Sb 0.500 0.000 0.000
3 Ca 0.500 0.500 0.500
4 Sn 0.000 0.000 0.000
5 I 0.000 0.000 0.500

Values from the calculation:
energy above the most stable polymorph in this dataset: 0.000 eV per atom
total energy: -15.373 eV for the cell shown
energy relative to the elements, uncorrected: 0.085 eV per atom

(3)
Here is a relaxed PrBi2 crystal from Alexandria. Energies are from PBE-GGA.

a = 5.336 Å, b = 5.336 Å, c = 9.580 Å
α = 73.83°, β = 73.83°, γ = 60.00°
Positions (direct):
1 Bi 0.341 0.341 0.977
2 Bi 0.186 0.186 0.442
3 Bi 0.659 0.659 0.023
4 Bi 0.814 0.814 0.558
5 Pr 0.934 0.934 0.198
6 Pr 0.066 0.066 0.802

Values from the calculation:
total energy: -27.083 eV for the cell shown
calculated formation energy: -0.333 eV per atom

(4)
Here is a relaxed Sc2GeTe5 crystal from Alexandria. Energies are from PBE-GGA.

a = 5.942 Å, b = 7.728 Å, c = 13.048 Å
α = 90.00°, β = 90.00°, γ = 112.61°
Positions (direct):
1 Te 0.966 0.932 0.896
2 Te 0.034 0.068 0.104
3 Te 0.323 0.646 0.419
4 Te 0.726 0.451 0.250
5 Te 0.677 0.354 0.919
6 Te 0.323 0.646 0.081
7 Te 0.677 0.354 0.581
8 Te 0.034 0.068 0.396
9 Te 0.966 0.932 0.604
10 Te 0.274 0.549 0.750
11 Ge 0.205 0.411 0.250
12 Ge 0.795 0.589 0.750
13 Sc 0.168 0.335 0.565
14 Sc 0.832 0.665 0.435
15 Sc 0.832 0.665 0.065
16 Sc 0.168 0.335 0.935

Values from the calculation:
total energy: -76.993 eV for the cell shown
energy relative to the elements, uncorrected: -0.688 eV per atom

(5)
Here is a relaxed As2PW crystal from Alexandria. Energies are from PBE-GGA.

a = 4.653 Å, b = 4.653 Å, c = 3.147 Å
α = 90.00°, β = 90.00°, γ = 108.86°
Positions (direct):
1 As 0.500 0.500 0.000
2 As 0.000 0.000 0.000
3 W 0.000 0.500 0.500
4 P 0.500 0.000 0.500

Values from the calculation:
total energy: -25.098 eV for the cell shown
calculated formation energy: 0.641 eV per atom

(6)
Here is a relaxed PaZnCdNi crystal from Alexandria. Energies are from PBE-GGA.

a = 4.724 Å, b = 4.724 Å, c = 4.724 Å
α = 60.00°, β = 60.00°, γ = 60.00°
Positions (direct):
1 Pa 0.000 0.000 0.000
2 Ni 0.750 0.750 0.750
3 Zn 0.250 0.250 0.250
4 Cd 0.500 0.500 0.500

Values from the calculation:
total energy: -17.758 eV for the cell shown
calculated formation energy: -0.073 eV per atom

(7)
Here is a relaxed MnIn5I7 crystal from Alexandria. Energies are from PBE-GGA.

a = 9.620 Å, b = 8.441 Å, c = 10.799 Å
α = 82.47°, β = 48.41°, γ = 73.11°
Positions (direct):
1 In 0.485 0.519 0.006
2 In 0.934 0.518 0.093
3 In 0.545 0.907 0.482
4 In 0.011 0.994 0.481
5 In 0.575 0.059 0.941
6 I 0.288 0.227 0.773
7 I 0.686 0.747 0.691
8 I 0.067 0.833 0.167
9 I 0.124 0.309 0.253
10 I 0.091 0.825 0.763
11 I 0.679 0.237 0.175
12 I 0.474 0.787 0.213
13 Mn 0.041 0.037 0.963

Values from the calculation:
total energy: -39.098 eV for the cell shown
energy relative to the elements, uncorrected: -0.414 eV per atom

(8)
Here is a relaxed La5DyPb4 crystal from Alexandria. Energies are from PBE-GGA.

a = 5.591 Å, b = 7.422 Å, c = 11.595 Å
α = 128.84°, β = 103.95°, γ = 90.00°
Positions (direct):
1 La 0.834 0.167 0.668
2 La 0.167 0.326 0.334
3 La 0.500 0.500 0.000
4 La 0.166 0.833 0.332
5 La 0.833 0.674 0.666
6 Pb 0.992 0.744 0.985
7 Pb 0.328 0.904 0.656
8 Pb 0.672 0.096 0.344
9 Pb 0.008 0.256 0.015
10 Dy 0.500 0.000 0.000

Values from the calculation:
total energy: -48.282 eV for the cell shown
calculated formation energy: -0.421 eV per atom

(9)
Here is a relaxed MgV crystal from Alexandria. Energies are from PBE-GGA.

a = 6.464 Å, b = 6.464 Å, c = 6.464 Å
α = 90.00°, β = 90.00°, γ = 90.00°
Positions (direct):
1 V 0.000 0.500 0.500
2 V 0.000 0.000 0.000
3 V 0.500 0.500 0.000
4 V 0.500 0.000 0.500
5 Mg 0.750 0.250 0.750
6 Mg 0.250 0.250 0.250
7 Mg 0.750 0.750 0.250
8 Mg 0.250 0.750 0.750

Values from the calculation:
total energy: -26.890 eV for the cell shown
calculated formation energy: 1.995 eV per atom

(10)
Here is a relaxed BaEu2H crystal from Alexandria. Energies are from PBE-GGA.

a = 3.864 Å, b = 3.864 Å, c = 10.539 Å
α = 79.44°, β = 79.44°, γ = 60.00°
Positions (direct):
1 Eu 0.121 0.121 0.638
2 Eu 0.879 0.879 0.362
3 H 0.500 0.500 0.500
4 Ba 0.000 0.000 0.000

Values from the calculation:
total energy: -26.059 eV for the cell shown

(11)
Here is a relaxed Ba2ScPbO5 crystal from Alexandria. Energies are from PBE-GGA.

a = 3.590 Å, b = 7.848 Å, c = 11.417 Å
α = 90.00°, β = 90.00°, γ = 103.22°
Positions (direct):
1 Sc 0.222 0.444 0.019
2 Sc 0.778 0.556 0.519
3 O 0.724 0.448 0.135
4 O 0.497 0.994 0.779
5 O 0.649 0.299 0.496
6 O 0.503 0.006 0.279
7 O 0.687 0.373 0.895
8 O 0.925 0.850 0.564
9 O 0.351 0.701 0.996
10 O 0.075 0.150 0.064
11 O 0.276 0.552 0.635
12 O 0.313 0.627 0.395
13 Ba 0.890 0.780 0.179
14 Ba 0.141 0.283 0.298
15 Ba 0.110 0.220 0.679
16 Ba 0.859 0.717 0.798
17 Pb 0.545 0.089 0.959
18 Pb 0.455 0.911 0.459

Values from the calculation:
total energy: -118.716 eV for the cell shown
energy relative to the elements, uncorrected: -2.298 eV per atom

(12)
Here is a relaxed BeCoAg2 crystal from Alexandria. Energies are from PBE-GGA.

a = 2.830 Å, b = 2.830 Å, c = 6.825 Å
α = 90.00°, β = 90.00°, γ = 90.00°
Positions (direct):
1 Ag 0.000 0.000 0.474
2 Ag 0.000 0.000 0.026
3 Co 0.500 0.500 0.750
4 Be 0.500 0.500 0.250

Values from the calculation:
total energy: -15.183 eV for the cell shown
calculated formation energy: 0.338 eV per atom